Compound: Na3Mn3TeO8
Source: the Alexandria database
Functional: PBE with a Hubbard U
Structure: optimized geometry

VASP energy = -6.17 eV per atom
magnetic moment = 28.000 μB per cell

Cell: 11.070 6.379 6.647 Å, 90.00 123.84 90.00°
Space group C2/m (No. 12)
Symmetry-distinct sites (fractional):
Na 0.000 0.000 0.000
Na 0.250 0.250 0.000
Mn 0.000 0.500 0.500
Mn 0.250 0.250 0.500
Te 0.000 0.000 0.500
O 0.005 0.223 0.298
O 0.213 0.000 0.698
O 0.213 0.500 0.682

***

Compound: NaMnTeO4
Source: the Alexandria database
Functional: PBE with a Hubbard U
Structure: optimized geometry

VASP energy = -5.80 eV per atom
magnetic moment = 17.524 μB per cell

Cell: 6.402 9.072 7.143 Å, 90.00 90.00 90.00°
Space group Cmcm (No. 63)
Symmetry-distinct sites (fractional):
Na 0.000 0.214 0.250
Mn 0.000 0.500 0.000
Te 0.000 0.136 0.750
O 0.000 0.270 0.551
O 0.210 0.454 0.250

***

Compound: Na2Mn3TeO6
Source: the Alexandria database
Functional: PBE with a Hubbard U
Structure: optimized geometry

VASP energy = -6.28 eV per atom
magnetic moment = 30.000 μB per cell

Cell: 5.678 9.762 5.661 Å, 90.00 109.87 90.00°
Space group C2/m (No. 12)
Symmetry-distinct sites (fractional):
Na 0.000 0.166 0.000
Mn 0.000 0.000 0.500
Mn 0.000 0.331 0.500
Te 0.000 0.500 0.000
O 0.221 0.500 0.746
O 0.245 0.344 0.269

***

Compound: Na2TiMn3O6
Source: the Alexandria database
Functional: PBE with a Hubbard U
Structure: optimized geometry

VASP energy = -7.18 eV per atom
magnetic moment = 30.000 μB per cell

Cell: 5.619 9.616 5.397 Å, 90.00 111.20 90.00°
Space group C2/m (No. 12)
Symmetry-distinct sites (fractional):
Na 0.000 0.167 0.000
Ti 0.000 0.500 0.000
Mn 0.000 0.000 0.500
Mn 0.000 0.332 0.500
O 0.207 0.500 0.771
O 0.231 0.352 0.253